No. 1
Density functional theory data (GGA-PBE) for an optimized crystal structure of Pm2MnGe.

Geometry as POSCAR:
```
Pm2MnGe
1.0
-0.894 -3.341 2.123
1.952 -2.733 -3.478
4.293 0.255 2.209
Ge Mn Pm
1 1 2
Direct
0.500 0.000 0.000
0.500 0.500 0.500
0.000 0.000 0.500
0.000 0.500 0.000
```

Values from the calculation:
density of states at the Fermi level = 0.971 states/eV/atom
raw total energy = -0.22121 hartree per atom
energy relative to the elements = -0.79 eV per formula unit

---

No. 2
Density functional theory data (GGA-PBE) for an optimized crystal structure of PrAuN.

Geometry as POSCAR:
```
PrAuN
1.0
3.673 0.000 0.000
0.000 3.673 0.000
-1.836 -1.836 9.149
Au Pr N
2 2 2
Direct
0.070 0.070 0.140
0.930 0.930 0.860
0.679 0.679 0.358
0.321 0.321 0.642
0.808 0.808 0.617
0.192 0.192 0.383
```

Values from the calculation:
density of states at the Fermi level = 0.005 states/eV/atom
raw total energy = -0.22972 hartree per atom
E_form (uncorrected) = -229 kJ/mol of formula units
E above lowest polymorph = 33.3 meV per atom

---

No. 3
Density functional theory data (GGA-PBE) for an optimized crystal structure of AcTb2Pr2Nd.

Geometry as POSCAR:
```
AcTb2Pr2Nd
1.0
-3.705 -3.638 2.685
1.398 -5.119 -5.007
7.561 -3.500 5.689
Ac Tb Pr Nd
2 4 4 2
Direct
0.000 0.008 0.500
0.000 0.508 0.500
0.000 0.258 0.836
0.500 0.258 0.330
0.000 0.758 0.164
0.500 0.758 0.670
0.500 0.008 0.000
0.000 0.258 0.164
0.500 0.508 0.000
0.000 0.758 0.836
0.500 0.258 0.670
0.500 0.758 0.330
```

Values from the calculation:
density of states at the Fermi level = 1.574 states/eV/atom
raw total energy = -0.16731 hartree per atom
energy relative to the elements = 0.38 eV per formula unit

---

No. 4
Density functional theory data (GGA-PBE) for an optimized crystal structure of Hf2TaPt.

Geometry as POSCAR:
```
Hf2TaPt
1.0
3.330 0.000 0.000
0.000 3.330 0.000
0.000 0.000 6.855
Hf Pt Ta
2 1 1
Direct
0.000 0.000 0.756
0.000 0.000 0.244
0.500 0.500 0.000
0.500 0.500 0.500
```

Values from the calculation:
density of states at the Fermi level = 0.774 states/eV/atom
raw total energy = -0.36718 hartree per atom
energy relative to the elements = -2.17 eV per formula unit

---

No. 5
Density functional theory data (GGA-PBE) for an optimized crystal structure of AlTc2HgW.

Geometry as POSCAR:
```
AlTc2HgW
1.0
4.470 0.000 0.000
0.000 4.612 0.000
0.000 0.000 4.470
Al Hg W Tc
1 1 1 2
Direct
0.000 0.000 0.000
0.500 0.500 0.500
0.000 0.500 0.000
0.000 0.000 0.500
0.500 0.000 0.000
```

Values from the calculation:
density of states at the Fermi level = 1.205 states/eV/atom
raw total energy = -0.22144 hartree per atom
energy relative to the elements = 7.60 eV per formula unit

---

No. 6
Density functional theory data (GGA-PBE) for an optimized crystal structure of SmTmMg2Au4.

Geometry as POSCAR:
```
SmTmMg2Au4
1.0
-4.703 -1.339 0.488
-1.177 -3.863 2.800
-2.678 3.119 7.489
Sm Tm Mg Au
1 1 2 4
Direct
0.000 0.000 0.000
0.500 0.500 0.500
0.751 0.751 0.747
0.249 0.249 0.253
0.379 0.379 0.862
0.872 0.872 0.385
0.128 0.128 0.615
0.621 0.621 0.138
```

Values from the calculation:
density of states at the Fermi level = 0.654 states/eV/atom
raw total energy = -0.14539 hartree per atom
energy relative to the elements = -6.16 eV per formula unit